[1]
# Pm12Tl3Au

A relaxed structure of Pm12Tl3Au (PBE-GGA, Alexandria).

a b c (Å): 4.951 4.951 19.553
angles (deg): 90.00 90.00 90.00
Atoms (fractional coordinates):
Pm1 0.000 0.000 0.000
Pm2 0.000 0.000 0.244
Pm3 0.000 0.000 0.500
Pm4 0.000 0.000 0.756
Pm5 0.000 0.500 0.118
Pm6 0.000 0.500 0.372
Pm7 0.000 0.500 0.628
Pm8 0.000 0.500 0.882
Pm9 0.500 0.000 0.118
Pm10 0.500 0.000 0.372
Pm11 0.500 0.000 0.628
Pm12 0.500 0.000 0.882
Tl1 0.500 0.500 0.246
Tl2 0.500 0.500 0.500
Tl3 0.500 0.500 0.754
Au1 0.500 0.500 0.000

Summary:
Total magnetization in μB/atom: 0.000
Total DFT energy (no corrections) in eV per formula unit: -70.77

***

[2]
# Pm2TlAu2

A relaxed structure of Pm2TlAu2 (PBE-GGA, Alexandria).

a b c (Å): 8.177 8.177 3.842
angles (deg): 90.00 90.00 90.00
Atoms (fractional coordinates):
Pm1 0.172 0.328 0.000
Pm2 0.328 0.828 0.000
Pm3 0.672 0.172 0.000
Pm4 0.828 0.672 0.000
Tl1 0.000 0.000 0.500
Tl2 0.500 0.500 0.500
Au1 0.125 0.625 0.500
Au2 0.375 0.125 0.500
Au3 0.625 0.875 0.500
Au4 0.875 0.375 0.500

Summary:
Total magnetization in μB/atom: 0.000
Total DFT energy (no corrections) in eV per formula unit: -22.00

***

[3]
# Pm8TlAu2

A relaxed structure of Pm8TlAu2 (PBE-GGA, Alexandria).

a b c (Å): 8.406 8.406 5.655
angles (deg): 99.33 99.33 115.94
Atoms (fractional coordinates):
Pm1 0.000 0.000 0.000
Pm2 0.077 0.314 0.612
Pm3 0.159 0.633 0.194
Pm4 0.314 0.077 0.612
Pm5 0.481 0.718 0.774
Pm6 0.633 0.159 0.194
Pm7 0.718 0.481 0.774
Pm8 0.795 0.795 0.387
Tl1 0.398 0.398 0.193
Au1 0.092 0.705 0.695
Au2 0.705 0.092 0.695

Summary:
Total magnetization in μB/atom: 0.000
Total DFT energy (no corrections) in eV per formula unit: -49.85
Distance to the lowest polymorph of the same formula in meV per atom: 85

***

[4]
# Pm12Tl5Au2

A relaxed structure of Pm12Tl5Au2 (PBE-GGA, Alexandria).

a b c (Å): 9.518 9.518 9.234
angles (deg): 94.46 94.46 45.91
Atoms (fractional coordinates):
Pm1 0.001 0.001 0.301
Pm2 0.093 0.586 0.070
Pm3 0.097 0.603 0.491
Pm4 0.397 0.903 0.509
Pm5 0.414 0.907 0.930
Pm6 0.459 0.459 0.815
Pm7 0.541 0.541 0.185
Pm8 0.586 0.093 0.070
Pm9 0.603 0.097 0.491
Pm10 0.903 0.397 0.509
Pm11 0.907 0.414 0.930
Pm12 0.999 0.999 0.699
Tl1 0.206 0.206 0.242
Tl2 0.272 0.272 0.748
Tl3 0.500 0.500 0.500
Tl4 0.728 0.728 0.252
Tl5 0.794 0.794 0.758
Au1 0.186 0.814 0.000
Au2 0.814 0.186 0.000

Summary:
Total magnetization in μB/atom: 0.000
Total DFT energy (no corrections) in eV per formula unit: -80.30

***

[5]
# PmTlAu2

A relaxed structure of PmTlAu2 (PBE-GGA, Alexandria).

a b c (Å): 3.791 3.791 6.801
angles (deg): 90.00 90.00 90.00
Atoms (fractional coordinates):
Pm1 0.000 0.000 0.000
Tl1 0.000 0.000 0.500
Au1 0.500 0.500 0.233
Au2 0.500 0.500 0.767

Summary:
Total magnetization in μB/atom: 0.000
Total DFT energy (no corrections) in eV per formula unit: -15.66
Distance to the lowest polymorph of the same formula in meV per atom: 70

***

[6]
# Pm3TlAu

A relaxed structure of Pm3TlAu (PBE-GGA, Alexandria).

a b c (Å): 7.558 7.558 7.558
angles (deg): 90.00 90.00 90.00
Atoms (fractional coordinates):
Pm1 0.000 0.000 0.000
Pm2 0.265 0.265 0.265
Pm3 0.265 0.265 0.735
Pm4 0.265 0.735 0.265
Pm5 0.265 0.735 0.735
Pm6 0.735 0.265 0.265
Pm7 0.735 0.265 0.735
Pm8 0.735 0.735 0.265
Pm9 0.735 0.735 0.735
Tl1 0.000 0.000 0.500
Tl2 0.000 0.500 0.000
Tl3 0.500 0.000 0.000
Au1 0.000 0.500 0.500
Au2 0.500 0.000 0.500
Au3 0.500 0.500 0.000

Summary:
Total magnetization in μB/atom: 0.153
Total DFT energy (no corrections) in eV per formula unit: -21.89

***

[7]
# Pm8TlAu2

A relaxed structure of Pm8TlAu2 (PBE-GGA, Alexandria).

a b c (Å): 9.214 9.214 8.060
angles (deg): 113.14 113.14 32.14
Atoms (fractional coordinates):
Pm1 0.045 0.045 0.259
Pm2 0.185 0.185 0.783
Pm3 0.320 0.320 0.530
Pm4 0.408 0.408 0.038
Pm5 0.592 0.592 0.962
Pm6 0.680 0.680 0.470
Pm7 0.815 0.815 0.217
Pm8 0.955 0.955 0.741
Tl1 0.500 0.500 0.500
Au1 0.191 0.191 0.156
Au2 0.809 0.809 0.844

Summary:
Total magnetization in μB/atom: 0.000
Total DFT energy (no corrections) in eV per formula unit: -50.78
Distance to the lowest polymorph of the same formula in meV per atom: 0

***

[8]
# Pm7Tl2Au2

A relaxed structure of Pm7Tl2Au2 (PBE-GGA, Alexandria).

a b c (Å): 7.126 7.126 7.378
angles (deg): 90.00 90.00 107.39
Atoms (fractional coordinates):
Pm1 0.000 0.000 0.000
Pm2 0.000 0.500 0.264
Pm3 0.000 0.500 0.736
Pm4 0.500 0.000 0.264
Pm5 0.500 0.000 0.736
Pm6 0.500 0.500 0.251
Pm7 0.500 0.500 0.749
Tl1 0.175 0.175 0.500
Tl2 0.825 0.825 0.500
Au1 0.290 0.710 0.000
Au2 0.710 0.290 0.000

Summary:
Total magnetization in μB/atom: 0.000
Total DFT energy (no corrections) in eV per formula unit: -47.28

***

[9]
# Pm5Tl3Au12

A relaxed structure of Pm5Tl3Au12 (PBE-GGA, Alexandria).

a b c (Å): 14.624 14.624 14.624
angles (deg): 109.47 109.47 109.47
Atoms (fractional coordinates):
Pm1 0.000 0.000 0.000
Pm2 0.000 0.000 0.500
Pm3 0.000 0.500 0.000
Pm4 0.000 0.500 0.500
Pm5 0.125 0.750 0.875
Pm6 0.125 0.875 0.250
Pm7 0.250 0.125 0.875
Pm8 0.250 0.625 0.375
Pm9 0.375 0.250 0.625
Pm10 0.375 0.625 0.750
Pm11 0.500 0.000 0.000
Pm12 0.500 0.000 0.500
Pm13 0.500 0.500 0.000
Pm14 0.500 0.500 0.500
Pm15 0.625 0.375 0.250
Pm16 0.625 0.750 0.375
Pm17 0.750 0.375 0.625
Pm18 0.750 0.875 0.125
Pm19 0.875 0.125 0.750
Pm20 0.875 0.250 0.125
Tl1 0.125 0.250 0.375
Tl2 0.125 0.375 0.750
Tl3 0.250 0.375 0.125
Tl4 0.250 0.875 0.625
Tl5 0.375 0.125 0.250
Tl6 0.375 0.750 0.125
Tl7 0.625 0.250 0.875
Tl8 0.625 0.875 0.750
Tl9 0.750 0.125 0.375
Tl10 0.750 0.625 0.875
Tl11 0.875 0.625 0.250
Tl12 0.875 0.750 0.625
Au1 0.072 0.645 0.410
Au2 0.072 0.927 0.662
Au3 0.073 0.235 0.145
Au4 0.073 0.338 0.928
Au5 0.090 0.735 0.662
Au6 0.090 0.855 0.428
Au7 0.145 0.073 0.235
Au8 0.145 0.572 0.910
Au9 0.162 0.235 0.590
Au10 0.162 0.427 0.572
Au11 0.235 0.145 0.073
Au12 0.235 0.590 0.162
Au13 0.265 0.338 0.910
Au14 0.265 0.427 0.355
Au15 0.338 0.910 0.265
Au16 0.338 0.928 0.073
Au17 0.355 0.265 0.427
Au18 0.355 0.590 0.928
Au19 0.410 0.072 0.645
Au20 0.410 0.838 0.765
Au21 0.427 0.355 0.265
Au22 0.427 0.572 0.162
Au23 0.428 0.090 0.855
Au24 0.428 0.838 0.573
Au25 0.572 0.162 0.427
Au26 0.572 0.910 0.145
Au27 0.573 0.428 0.838
Au28 0.573 0.645 0.735
Au29 0.590 0.162 0.235
Au30 0.590 0.928 0.355
Au31 0.645 0.410 0.072
Au32 0.645 0.735 0.573
Au33 0.662 0.072 0.927
Au34 0.662 0.090 0.735
Au35 0.735 0.573 0.645
Au36 0.735 0.662 0.090
Au37 0.765 0.410 0.838
Au38 0.765 0.855 0.927
Au39 0.838 0.573 0.428
Au40 0.838 0.765 0.410
Au41 0.855 0.428 0.090
Au42 0.855 0.927 0.765
Au43 0.910 0.145 0.572
Au44 0.910 0.265 0.338
Au45 0.927 0.662 0.072
Au46 0.927 0.765 0.855
Au47 0.928 0.073 0.338
Au48 0.928 0.355 0.590

Summary:
Total magnetization in μB/atom: 0.000
Total DFT energy (no corrections) in eV per formula unit: -73.18